4
Lattice="6.281 -2.007 0.000 6.281 2.007 0.000 -3.503 0.000 6.132" Properties=species:S:1:pos:R:3 comment="BaCa2Be GGA-PBE relaxed" m_tot_mub_per_fu=0.00 sg="No. 8" n_ef_per_ev_cell=4.16 dft_energy_ev_per_cell=-8.38 pbc="T T T"
Ba 0.000 0.000 0.000
Ca -0.191 0.000 4.147
Ca 3.255 0.000 2.220
Be 8.968 0.000 0.091

=====

4
Lattice="2.502 -2.508 0.000 2.502 2.508 0.000 0.000 0.000 9.333" Properties=species:S:1:pos:R:3 comment="K2RuBr GGA-PBE relaxed" m_tot_mub_per_fu=2.13 sg="No. 65" formation_energy_uncorrected_kcal_per_mol_atoms=4.36 n_ef_per_ev_cell=4.85 pbc="T T T"
K 0.000 0.000 2.108
K 0.000 0.000 7.225
Ru 2.502 0.000 4.666
Br 2.502 0.000 0.000

=====

20
Lattice="12.456 0.000 0.000 0.000 4.233 0.000 -5.852 0.000 11.586" Properties=species:S:1:pos:R:3 comment="Ge3SbTe6 GGA-PBE relaxed" m_tot_mub_per_fu=0.00 sg="No. 11" formation_energy_uncorrected_kcal_per_mol_atoms=-0.10 n_ef_per_ev_cell=7.14 pbc="T T T"
Ge -0.651 1.058 1.539
Ge -0.396 3.175 5.201
Ge -1.034 1.058 10.754
Ge 7.639 3.175 0.832
Ge 7.000 1.058 6.385
Ge 7.256 3.175 10.047
Sb 3.099 1.058 3.873
Sb 3.506 3.175 7.713
Te -3.707 3.175 7.659
Te -3.912 1.058 11.301
Te 1.216 3.175 2.887
Te -1.002 3.175 8.687
Te 1.507 1.058 6.292
Te 4.884 3.175 1.227
Te 1.721 1.058 10.359
Te 5.097 3.175 5.294
Te 7.606 1.058 2.899
Te 5.389 1.058 8.699
Te 10.516 3.175 0.285
Te 10.312 1.058 3.927

=====

8
Lattice="-3.572 3.572 4.608 3.572 -3.572 4.608 3.572 3.572 -4.608" Properties=species:S:1:pos:R:3 comment="Pm5Tl2Cd GGA-PBE relaxed" m_tot_mub_per_fu=0.00 sg="No. 107" n_ef_per_ev_cell=9.52 dft_energy_ev_per_cell=-31.38 pbc="T T T"
Pm 0.000 0.000 0.000
Pm 1.787 1.787 -2.302
Pm 1.785 -1.785 2.307
Pm -1.785 1.785 2.307
Pm 1.785 1.785 2.307
Tl 3.572 0.000 0.002
Tl 0.000 3.572 0.002
Cd 0.000 0.000 4.614